# Sr8As3SeI4

A relaxed structure of Sr8As3SeI4 (PBE, Alexandria via LeMat-Bulk).

The value obtained for the uncorrected formation energy is -1495.7 meV per atom. As for the total moment: 0.00 μB per cell. The total energy comes out at -3.8137 eV per atom.

It has space group R-3m (No. 166, hexagonal axes), with a = 9.2012 Å, b = 9.2012 Å, c = 23.4701 Å, α = 90.00°, β = 90.00° and γ = 120.00°. The asymmetric unit holds Sr at (0.0000, 0.0000, 0.2342), Sr at (0.0069, 0.5034, 0.7657), As at (0.0000, 0.5000, 0.5000), Se at (0.0000, 0.0000, 0.5000), I at (0.0000, 0.0000, 0.0000) and I at (0.0000, 0.5000, 0.0000).